VASP calculation (PBE) on crystalline TlZn3Ag10 at its relaxed geometry.

Structure (extended XYZ):
```
28
Lattice="0.000 6.499 6.499 6.499 0.000 6.499 6.499 6.499 0.000" Properties=species:S:1:pos:R:3 pbc="T T T"
Tl 3.250 3.250 3.250
Tl 9.749 9.749 9.749
Zn 6.499 6.499 2.936
Zn 6.499 2.936 6.499
Zn 10.063 6.499 6.499
Zn 2.936 6.499 6.499
Zn 6.499 10.063 6.499
Zn 6.499 6.499 10.063
Ag 1.588 1.588 1.588
Ag 4.911 4.911 1.588
Ag 4.911 1.588 4.911
Ag 6.499 4.275 4.275
Ag 8.724 6.499 4.275
Ag 8.724 4.275 6.499
Ag 11.410 8.088 8.088
Ag 4.275 6.499 4.275
Ag 6.499 8.724 4.275
Ag 4.275 4.275 6.499
Ag 8.724 8.724 6.499
Ag 6.499 4.275 8.724
Ag 8.724 6.499 8.724
Ag 1.588 4.911 4.911
Ag 4.275 8.724 6.499
Ag 4.275 6.499 8.724
Ag 6.499 8.724 8.724
Ag 8.088 11.410 8.088
Ag 8.088 8.088 11.410
Ag 11.410 11.410 11.410
```

## Properties
total energy	-66.088	eV per cell
DFT formation energy	160	kJ/mol of formula units
symmetry	Fm-3m, No. 225
DOS(E_F)	0.14	states/eV/atom